This record from OQMD via LeMat-Bulk describes an optimized crystal structure of ErS. The functional is PBE.

Structure (extended XYZ):
```
2
Lattice="-1.844 -3.393 -0.034 -1.979 -1.153 3.109 -3.860 -0.100 -0.095" Properties=species:S:1:pos:R:3 pbc="T T T"
Er 0.000 0.000 0.000
S -3.841 -2.323 1.490
```

Computed properties:
E ... -12.598 eV/cell
ρ ... 8126 kg/m3
M_tot ... 0.003 μB/cell